# 1
A relaxed Nd2Tc2P2C crystal. Source: Alexandria via LeMat-Bulk, functional GGA-PBE.

Lattice parameters (Å, degrees): 11.2779 3.9935 6.8837 90.00 124.82 90.00
Last column: nearest neighbours and their distance in Å.
Fractional coordinates of all 14 atoms:
Nd 0.0646 0.0000 0.3104  2 C 2.70, 1 P 3.00
Nd 0.4354 0.5000 0.6896  2 C 2.70, 1 P 3.00
Nd 0.5646 0.5000 0.3104  2 C 2.70, 1 P 3.00
Nd 0.9354 0.0000 0.6896  2 C 2.70, 1 P 3.00
Tc 0.1962 0.5000 0.0861  1 C 1.94
Tc 0.3038 0.0000 0.9139  1 C 1.94
Tc 0.6962 0.0000 0.0861  1 C 1.94
Tc 0.8038 0.5000 0.9139  1 C 1.94
P 0.1814 0.5000 0.7237  3 Tc 2.35-2.40
P 0.3186 0.0000 0.2763  3 Tc 2.35-2.40
P 0.6814 0.0000 0.7237  3 Tc 2.35-2.40
P 0.8186 0.5000 0.2763  3 Tc 2.35-2.40
C 0.0000 0.5000 0.0000  2 Tc 1.94
C 0.5000 0.0000 0.0000  2 Tc 1.94

## Properties
DFT formation energy   -0.879 eV per atom
Uncorrected energy   -8.0662 eV/atom



# 2
A relaxed Nd6Te3P2C crystal. Source: Alexandria via LeMat-Bulk, functional GGA-PBE.

Lattice parameters (Å, degrees): 7.2534 7.2534 7.6612 99.07 99.07 119.96
Last column: nearest neighbours and their distance in Å.
Fractional coordinates of all 12 atoms:
Nd 0.0681 0.3798 0.2046  1 C 2.71, 2 P 2.91-2.92
Nd 0.2424 0.2424 0.7897  1 C 2.73, 2 P 2.92
Nd 0.3798 0.0681 0.2046  1 C 2.71, 2 P 2.91-2.92
Nd 0.6202 0.9319 0.7954  1 C 2.71, 2 P 2.91-2.92
Nd 0.7576 0.7576 0.2103  1 C 2.73, 2 P 2.92
Nd 0.9319 0.6202 0.7954  1 C 2.71, 2 P 2.91-2.92
Te 0.1734 0.8266 0.5000  6 Nd 3.18-3.30
Te 0.5000 0.5000 0.5000  6 Nd 3.18-3.32
Te 0.8266 0.1734 0.5000  6 Nd 3.18-3.30
P 0.3343 0.6657 0.0000  6 Nd 2.91-2.92
P 0.6657 0.3343 0.0000  6 Nd 2.91-2.92
C 0.0000 0.0000 0.0000  6 Nd 2.71-2.73

## Properties
Formation energy (no corrections)   -1302.6 meV per atom
Uncorrected energy   -6.1423 eV/atom



# 3
A relaxed Nd2PaC crystal. Source: Alexandria via LeMat-Bulk, functional GGA-PBE.

Lattice parameters (Å, degrees): 3.4767 3.4767 29.3655 90.00 90.00 120.00
Last column: nearest neighbours and their distance in Å.
Fractional coordinates of all 12 atoms:
Nd 0.0000 0.0000 0.1167  3 C 2.49
Nd 0.0000 0.0000 0.8833  3 C 2.49
Nd 0.3333 0.6667 0.5499  3 C 2.49
Nd 0.3333 0.6667 0.7834  3 C 2.49
Nd 0.6667 0.3333 0.2166  3 C 2.49
Nd 0.6667 0.3333 0.4501  3 C 2.49
Pa 0.0000 0.0000 0.0000  2 Nd 3.43, 6 Pa 3.48
Pa 0.3333 0.6667 0.6667  2 Nd 3.43, 6 Pa 3.48
Pa 0.6667 0.3333 0.3333  2 Nd 3.43, 6 Pa 3.48
C 0.0000 0.0000 0.5000  6 Nd 2.49
C 0.3333 0.6667 0.1667  6 Nd 2.49
C 0.6667 0.3333 0.8333  6 Nd 2.49

## Properties
DFT formation energy   0.295 eV per atom
Uncorrected energy   -6.7684 eV/atom



# 4
A relaxed NdPa2ReC4 crystal. Source: Alexandria via LeMat-Bulk, functional GGA-PBE.

Lattice parameters (Å, degrees): 6.2627 6.2627 12.0311 90.00 90.00 146.21
Last column: nearest neighbours and their distance in Å.
Fractional coordinates of all 16 atoms:
Nd 0.1161 0.8839 0.7500  6 C 2.79-2.93
Nd 0.8839 0.1161 0.2500  6 C 2.79-2.93
Pa 0.3679 0.6321 0.5428  6 C 2.40-2.58
Pa 0.3679 0.6321 0.9572  6 C 2.40-2.58
Pa 0.6321 0.3679 0.0428  6 C 2.40-2.58
Pa 0.6321 0.3679 0.4572  6 C 2.40-2.58
Re 0.1480 0.8520 0.2500  4 C 2.01-2.02
Re 0.8520 0.1480 0.7500  4 C 2.01-2.02
C 0.0000 0.0000 0.0000  4 Pa 2.47
C 0.0000 0.0000 0.5000  4 Pa 2.47
C 0.2593 0.7407 0.1253  1 Re 2.01
C 0.2593 0.7407 0.3747  1 Re 2.01
C 0.4244 0.5756 0.7500  2 Re 2.02
C 0.5756 0.4244 0.2500  2 Re 2.02
C 0.7407 0.2593 0.6253  1 Re 2.01
C 0.7407 0.2593 0.8747  1 Re 2.01

## Properties
DFT formation energy   -0.157 eV per atom
Uncorrected energy   -9.2949 eV/atom



# 5
A relaxed NdPaCS2 crystal. Source: Alexandria via LeMat-Bulk, functional GGA-PBE.

Lattice parameters (Å, degrees): 3.9266 3.9266 14.3120 90.00 90.00 90.00
Last column: nearest neighbours and their distance in Å.
Fractional coordinates of all 10 atoms:
Nd 0.2500 0.2500 0.1242  5 S 2.70-2.82
Nd 0.7500 0.7500 0.8758  5 S 2.70-2.82
Pa 0.2500 0.2500 0.5852  4 C 2.31
Pa 0.7500 0.7500 0.4148  4 C 2.31
C 0.2500 0.7500 0.5000  4 Pa 2.31
C 0.7500 0.2500 0.5000  4 Pa 2.31
S 0.2500 0.2500 0.3126  1 Nd 2.70
S 0.2500 0.2500 0.9089  5 Nd 2.82-3.08
S 0.7500 0.7500 0.0911  5 Nd 2.82-3.08
S 0.7500 0.7500 0.6874  1 Nd 2.70

## Properties
Formation energy (no corrections)   -1351.0 meV per atom
Uncorrected energy   -7.6995 eV/atom



# 6
A relaxed Nd2Pa2Sb2C crystal. Source: Alexandria via LeMat-Bulk, functional GGA-PBE.

Lattice parameters (Å, degrees): 4.6752 4.6752 16.8550 90.00 90.00 90.00
Last column: nearest neighbours and their distance in Å.
Fractional coordinates of all 14 atoms:
Nd 0.0000 0.0000 0.1665  1 C 2.81
Nd 0.0000 0.0000 0.8335  1 C 2.81
Nd 0.5000 0.5000 0.3335  1 C 2.81
Nd 0.5000 0.5000 0.6665  1 C 2.81
Pa 0.0000 0.5000 0.0000  2 C 2.34
Pa 0.0000 0.5000 0.5000  2 C 2.34
Pa 0.5000 0.0000 0.0000  2 C 2.34
Pa 0.5000 0.0000 0.5000  2 C 2.34
Sb 0.0000 0.0000 0.3614  5 Nd 3.28-3.34, 4 Pa 3.31
Sb 0.0000 0.0000 0.6387  5 Nd 3.28-3.34, 4 Pa 3.31
Sb 0.5000 0.5000 0.1386  5 Nd 3.28-3.34, 4 Pa 3.31
Sb 0.5000 0.5000 0.8614  5 Nd 3.28-3.34, 4 Pa 3.31
C 0.0000 0.0000 0.0000  4 Pa 2.34
C 0.5000 0.5000 0.5000  4 Pa 2.34

## Properties
Formation energy (no corrections)   -713.0 meV per atom
Uncorrected energy   -7.2839 eV/atom



# 7
A relaxed NdPaCSe2 crystal. Source: Alexandria via LeMat-Bulk, functional GGA-PBE.

Lattice parameters (Å, degrees): 4.0319 4.0319 15.0158 90.00 90.00 90.00
Last column: nearest neighbours and their distance in Å.
Fractional coordinates of all 10 atoms:
Nd 0.2500 0.2500 0.1295  5 Se 2.80-2.92
Nd 0.7500 0.7500 0.8705  5 Se 2.80-2.92
Pa 0.2500 0.2500 0.5773  4 C 2.33
Pa 0.7500 0.7500 0.4227  4 C 2.33
C 0.2500 0.7500 0.5000  4 Pa 2.33
C 0.7500 0.2500 0.5000  4 Pa 2.33
Se 0.2500 0.2500 0.3161  1 Nd 2.80
Se 0.2500 0.2500 0.9119  4 Nd 2.92
Se 0.7500 0.7500 0.0881  4 Nd 2.92
Se 0.7500 0.7500 0.6839  1 Nd 2.80

## Properties
Formation energy (no corrections)   -1241.9 meV per atom
Uncorrected energy   -7.3333 eV/atom



# 8
A relaxed NdPa2SiC4 crystal. Source: Alexandria via LeMat-Bulk, functional GGA-PBE.

Lattice parameters (Å, degrees): 6.1911 6.1911 11.7731 90.00 90.00 146.30
Last column: nearest neighbours and their distance in Å.
Fractional coordinates of all 16 atoms:
Nd 0.0998 0.9002 0.7500  6 C 2.81-2.84
Nd 0.9002 0.0998 0.2500  6 C 2.81-2.84
Pa 0.3696 0.6304 0.5505  6 C 2.39-2.54
Pa 0.3696 0.6304 0.9495  6 C 2.39-2.54
Pa 0.6304 0.3696 0.0505  6 C 2.39-2.54
Pa 0.6304 0.3696 0.4495  6 C 2.39-2.54
Si 0.1688 0.8312 0.2500  4 C 1.88-2.06
Si 0.8312 0.1688 0.7500  4 C 1.88-2.06
C 0.0000 0.0000 0.0000  4 Pa 2.44
C 0.0000 0.0000 0.5000  4 Pa 2.44
C 0.2638 0.7362 0.1224  1 Si 1.88
C 0.2638 0.7362 0.3776  1 Si 1.88
C 0.4171 0.5829 0.7500  2 Si 2.06
C 0.5829 0.4171 0.2500  2 Si 2.06
C 0.7362 0.2638 0.6224  1 Si 1.88
C 0.7362 0.2638 0.8776  1 Si 1.88

## Properties
Formation energy (no corrections)   -271.7 meV per atom
Uncorrected energy   -8.5315 eV/atom



# 9
A relaxed NdPa2TcC4 crystal. Source: Alexandria via LeMat-Bulk, functional GGA-PBE.

Lattice parameters (Å, degrees): 6.2564 6.2564 11.9216 90.00 90.00 146.19
Last column: nearest neighbours and their distance in Å.
Fractional coordinates of all 16 atoms:
Nd 0.1175 0.8825 0.7500  6 C 2.77-2.92
Nd 0.8825 0.1175 0.2500  6 C 2.77-2.92
Pa 0.3680 0.6320 0.5436  6 C 2.39-2.57
Pa 0.3680 0.6320 0.9564  6 C 2.39-2.57
Pa 0.6320 0.3680 0.0436  6 C 2.39-2.57
Pa 0.6320 0.3680 0.4564  6 C 2.39-2.57
Tc 0.1466 0.8534 0.2500  4 C 2.02
Tc 0.8534 0.1466 0.7500  4 C 2.02
C 0.0000 0.0000 0.0000  4 Pa 2.47
C 0.0000 0.0000 0.5000  4 Pa 2.47
C 0.2602 0.7398 0.1248  1 Tc 2.02
C 0.2602 0.7398 0.3752  1 Tc 2.02
C 0.4268 0.5732 0.7500  2 Tc 2.02
C 0.5732 0.4268 0.2500  2 Tc 2.02
C 0.7398 0.2602 0.6248  1 Tc 2.02
C 0.7398 0.2602 0.8752  1 Tc 2.02

## Properties
DFT formation energy   -0.157 eV per atom
Uncorrected energy   -9.0351 eV/atom



# 10
A relaxed NdPaTe2C crystal. Source: Alexandria via LeMat-Bulk, functional GGA-PBE.

Lattice parameters (Å, degrees): 4.1671 4.1671 16.3983 90.00 90.00 90.00
Last column: nearest neighbours and their distance in Å.
Fractional coordinates of all 10 atoms:
Nd 0.2500 0.2500 0.1413  5 Te 3.01-3.11
Nd 0.7500 0.7500 0.8587  5 Te 3.01-3.11
Pa 0.2500 0.2500 0.5658  4 C 2.35
Pa 0.7500 0.7500 0.4342  4 C 2.35
Te 0.2500 0.2500 0.3246  1 Nd 3.01
Te 0.2500 0.2500 0.9194  4 Nd 3.11
Te 0.7500 0.7500 0.0806  4 Nd 3.11
Te 0.7500 0.7500 0.6754  1 Nd 3.01
C 0.2500 0.7500 0.5000  4 Pa 2.35
C 0.7500 0.2500 0.5000  4 Pa 2.35

## Properties
Formation energy (no corrections)   -933.4 meV per atom
Uncorrected energy   -6.8876 eV/atom



# 11
A relaxed NdUPa2C4 crystal. Source: Alexandria via LeMat-Bulk, functional GGA-PBE.

Lattice parameters (Å, degrees): 6.2543 3.6035 6.2549 90.00 109.68 90.00
Last column: nearest neighbours and their distance in Å.
Fractional coordinates of all 8 atoms:
Nd 0.0000 0.0000 0.0000  6 C 2.65-2.67
U 0.0000 0.5000 0.5000  6 C 2.46-2.50
Pa 0.5000 0.0000 0.5000  6 C 2.44-2.46
Pa 0.5000 0.5000 0.0000  6 C 2.59-2.66
C 0.2503 0.0000 0.7319  3 Pa 2.46-2.59, 2 U 2.50, 1 Nd 2.65
C 0.2631 0.5000 0.2821  3 Pa 2.44-2.66, 1 U 2.46, 2 Nd 2.67
C 0.7369 0.5000 0.7179  3 Pa 2.44-2.66, 1 U 2.46, 2 Nd 2.67
C 0.7497 0.0000 0.2681  3 Pa 2.46-2.59, 2 U 2.50, 1 Nd 2.65

## Properties
DFT formation energy   -0.237 eV per atom
Uncorrected energy   -9.2296 eV/atom



# 12
A relaxed NdPa2VC4 crystal. Source: Alexandria via LeMat-Bulk, functional GGA-PBE.

Lattice parameters (Å, degrees): 6.2143 6.2143 12.2632 90.00 90.00 146.69
Last column: nearest neighbours and their distance in Å.
Fractional coordinates of all 16 atoms:
Nd 0.1029 0.8971 0.7500  6 C 2.86
Nd 0.8971 0.1029 0.2500  6 C 2.86
Pa 0.3688 0.6312 0.5474  6 C 2.44-2.54
Pa 0.3688 0.6312 0.9526  6 C 2.44-2.54
Pa 0.6312 0.3688 0.0474  6 C 2.44-2.54
Pa 0.6312 0.3688 0.4526  6 C 2.44-2.54
V 0.1674 0.8326 0.2500  4 C 1.90-2.03
V 0.8326 0.1674 0.7500  4 C 1.90-2.03
C 0.0000 0.0000 0.0000  4 Pa 2.44
C 0.0000 0.0000 0.5000  4 Pa 2.44
C 0.2606 0.7394 0.1238  1 V 1.90
C 0.2606 0.7394 0.3762  1 V 1.90
C 0.4147 0.5853 0.7500  2 V 2.03
C 0.5853 0.4147 0.2500  2 V 2.03
C 0.7394 0.2606 0.6238  1 V 1.90
C 0.7394 0.2606 0.8762  1 V 1.90

## Properties
DFT formation energy   -0.217 eV per atom
Uncorrected energy   -8.9387 eV/atom



Q: Among the records above, which one has the lowest uncorrected energy?
A: NdPa2ReC4